No. 1
Here is a geometry-optimized RbFeCl3 structure from Alexandria via LeMat-Bulk. Energies are from PBEsol.

The symmetry is Pm-3m. For the raw formation energy, the calculation gives -1.16 eV per atom. The total energy is -4.37 eV per atom.

abc: 4.8665 4.8665 4.8665
angles: 90.00 90.00 90.00
Closest atoms and distances in Å follow each position.
Fractional positions:
Rb1 0.0000 0.0000 0.0000  12 Cl 3.44
Fe1 0.5000 0.5000 0.5000  6 Cl 2.43
Cl1 0.0000 0.5000 0.5000  2 Fe 2.43
Cl2 0.5000 0.0000 0.5000  2 Fe 2.43
Cl3 0.5000 0.5000 0.0000  2 Fe 2.43

***

No. 2
Here is a geometry-optimized Sc2ZnNi structure from Alexandria via LeMat-Bulk. Energies are from PBEsol.

The symmetry is P4mm. The total energy is -5.49 eV per atom. Its energy relative to the elements is -0.25 eV/atom.

abc: 3.1634 3.1634 6.8270
angles: 90.00 90.00 90.00
Closest atoms and distances in Å follow each position.
Fractional positions:
Sc1 0.0000 0.0000 0.0000  4 Zn 2.82, 1 Ni 2.95
Sc2 0.5000 0.5000 0.3492  4 Ni 2.69, 1 Zn 2.72
Zn1 0.5000 0.5000 0.7476  4 Ni 2.55, 5 Sc 2.72-2.82
Ni1 0.0000 0.0000 0.5679  4 Zn 2.55, 4 Sc 2.69

***

No. 3
Here is a geometry-optimized K2SrTc structure from Alexandria via LeMat-Bulk. Energies are from PBEsol.

The symmetry is Pm. For the excess energy over the best structure of this formula in the dataset, the calculation gives 0 meV/atom. The total energy is -2.88 eV per atom. Its energy relative to the elements is 0.97 eV/atom.

abc: 3.6054 3.6060 11.9927
angles: 90.00 90.40 90.00
Closest atoms and distances in Å follow each position.
Fractional positions:
K1 0.0000 0.0000 0.0000  4 K 3.61
K2 0.4811 0.5000 0.3417  4 Tc 3.44, 4 K 3.61
Sr1 0.4898 0.5000 0.6870  4 Tc 3.14
Tc1 0.9860 0.0000 0.5348  4 Sr 3.14, 4 K 3.44

***

No. 4
Here is a geometry-optimized GeSbI2Br structure from Alexandria via LeMat-Bulk. Energies are from PBEsol.

The symmetry is P4/mmm. For the raw formation energy, the calculation gives 0.86 eV per atom. The total energy is -2.12 eV per atom.

abc: 5.6812 5.6812 5.5466
angles: 90.00 90.00 90.00
Closest atoms and distances in Å follow each position.
Fractional positions:
Ge1 0.0000 0.0000 0.0000  8 I 3.97, 4 Sb 4.02
Sb1 0.5000 0.5000 0.0000  2 Br 2.77
I1 0.0000 0.5000 0.5000  2 Br 2.84
I2 0.5000 0.0000 0.5000  2 Br 2.84
Br1 0.5000 0.5000 0.5000  2 Sb 2.77, 4 I 2.84